## K2FeCuF6 (GGA+U)

Data for an optimized crystal structure of K2FeCuF6.

```
K2FeCuF6
1.0
-2.887 2.887 4.346
2.887 -2.887 4.346
2.887 2.887 -4.346
K Fe Cu F
2 1 1 6
Direct
0.250 0.750 0.500 K
0.750 0.250 0.500 K
0.000 0.000 0.000 Fe
0.500 0.500 0.000 Cu
0.227 0.227 0.000 F
0.251 0.251 0.501 F
0.251 0.749 0.000 F
0.749 0.251 0.000 F
0.749 0.749 0.499 F
0.773 0.773 0.000 F
```

## Properties
crystal system = tetragonal
E_tot = -4.67 eV/atom
mass density = 3.6 g cm⁻³